1.
# Nb2GaNi6 GGA-PBE optimized geometry
data_Nb2GaNi6
_chemical_formula_sum 'Nb2 Ga1 Ni6'
_space_group_name_H-M_alt 'P -3 m 1'
_space_group_IT_number 164
_space_group_name_Hall '-P 3 2"'
_cell_length_a 4.9767
_cell_length_b 4.9767
_cell_length_c 5.4312
_cell_angle_alpha 90.00
_cell_angle_beta 90.00
_cell_angle_gamma 120.00
loop_
_atom_site_label
_atom_site_type_symbol
_atom_site_fract_x
_atom_site_fract_y
_atom_site_fract_z
Nb1 Nb 0.3333 0.6667 0.3538
Ga1 Ga 0.0000 0.0000 0.5000
Ni1 Ni 0.1755 0.3511 0.8274
# * polymorph energy (0 for the lowest one): 0 meV/atom
# * calculated formation energy: -0.183 eV per atom
# * DOS at the Fermi energy: 0.860 states/eV/atom
# * energy: -6.61 eV/atom
# * magnetic moment: 0.0 μB/f.u.

***

2.
# NbGa2Ni4 GGA-PBE optimized geometry
data_NbGa2Ni4
_chemical_formula_sum 'Nb3 Ga6 Ni12'
_space_group_name_H-M_alt 'R -3 m'
_space_group_IT_number 166
_space_group_name_Hall '-R 3 2"'
_cell_length_a 4.1401
_cell_length_b 4.1401
_cell_length_c 18.8867
_cell_angle_alpha 90.00
_cell_angle_beta 90.00
_cell_angle_gamma 120.00
loop_
_atom_site_label
_atom_site_type_symbol
_atom_site_fract_x
_atom_site_fract_y
_atom_site_fract_z
Nb1 Nb 0.0000 0.0000 0.0000
Ga1 Ga 0.0000 0.0000 0.2606
Ni1 Ni 0.0000 0.0000 0.1338
Ni2 Ni 0.0000 0.0000 0.4102
# * polymorph energy (0 for the lowest one): 0 meV/atom
# * calculated formation energy: -0.184 eV per atom
# * DOS at the Fermi energy: 0.853 states/eV/atom
# * energy: -5.79 eV/atom
# * magnetic moment: 0.0 μB/f.u.

***

3.
# Nb2GaNi GGA-PBE optimized geometry
data_Nb2GaNi
_chemical_formula_sum 'Nb6 Ga3 Ni3'
_space_group_name_H-M_alt 'R 3 m'
_space_group_IT_number 160
_space_group_name_Hall 'R 3 -2"'
_cell_length_a 3.9781
_cell_length_b 3.9781
_cell_length_c 14.7337
_cell_angle_alpha 90.00
_cell_angle_beta 90.00
_cell_angle_gamma 120.00
loop_
_atom_site_label
_atom_site_type_symbol
_atom_site_fract_x
_atom_site_fract_y
_atom_site_fract_z
Nb1 Nb 0.0000 0.0000 0.0000
Nb2 Nb 0.0000 0.0000 0.2159
Ga1 Ga 0.0000 0.0000 0.4287
Ni1 Ni 0.0000 0.0000 0.8085
# * calculated formation energy: 0.058 eV per atom
# * DOS at the Fermi energy: 1.100 states/eV/atom
# * energy: -7.18 eV/atom
# * magnetic moment: 0.0 μB/f.u.

***

4.
# NbGaNi4 GGA-PBE optimized geometry
data_NbGaNi4
_chemical_formula_sum 'Nb2 Ga2 Ni8'
_space_group_name_H-M_alt 'C 1 2/m 1'
_space_group_IT_number 12
_space_group_name_Hall '-C 2y'
_cell_length_a 8.4815
_cell_length_b 4.1712
_cell_length_c 5.2802
_cell_angle_alpha 90.00
_cell_angle_beta 125.68
_cell_angle_gamma 90.00
loop_
_atom_site_label
_atom_site_type_symbol
_atom_site_fract_x
_atom_site_fract_y
_atom_site_fract_z
Nb1 Nb 0.0000 0.0000 0.0000
Ga1 Ga 0.0000 0.0000 0.5000
Ni1 Ni 0.1566 0.5000 0.4934
Ni2 Ni 0.1795 0.5000 0.0287
# * calculated formation energy: -0.198 eV per atom
# * DOS at the Fermi energy: 0.601 states/eV/atom
# * energy: -6.24 eV/atom
# * magnetic moment: 0.0 μB/f.u.

***

5.
# NbGa2Ni GGA-PBE optimized geometry
data_NbGa2Ni
_chemical_formula_sum 'Nb3 Ga6 Ni3'
_space_group_name_H-M_alt 'R -3 m'
_space_group_IT_number 166
_space_group_name_Hall '-R 3 2"'
_cell_length_a 3.9875
_cell_length_b 3.9875
_cell_length_c 13.2241
_cell_angle_alpha 90.00
_cell_angle_beta 90.00
_cell_angle_gamma 120.00
loop_
_atom_site_label
_atom_site_type_symbol
_atom_site_fract_x
_atom_site_fract_y
_atom_site_fract_z
Nb1 Nb 0.0000 0.0000 0.0000
Ga1 Ga 0.0000 0.0000 0.2247
Ni1 Ni 0.0000 0.0000 0.5000
# * calculated formation energy: -0.199 eV per atom
# * DOS at the Fermi energy: 0.726 states/eV/atom
# * energy: -5.68 eV/atom
# * magnetic moment: 0.0 μB/f.u.

***

6.
# NbGa4Ni5 GGA-PBE optimized geometry
data_NbGa4Ni5
_chemical_formula_sum 'Nb1 Ga4 Ni5'
_space_group_name_H-M_alt 'P 4/m m m'
_space_group_IT_number 123
_space_group_name_Hall '-P 4 2'
_cell_length_a 2.8660
_cell_length_b 2.8660
_cell_length_c 15.5921
_cell_angle_alpha 90.00
_cell_angle_beta 90.00
_cell_angle_gamma 90.00
loop_
_atom_site_label
_atom_site_type_symbol
_atom_site_fract_x
_atom_site_fract_y
_atom_site_fract_z
Nb1 Nb 0.0000 0.0000 0.0000
Ga1 Ga 0.0000 0.0000 0.2101
Ga2 Ga 0.0000 0.0000 0.4036
Ni1 Ni 0.5000 0.5000 0.1186
Ni2 Ni 0.5000 0.5000 0.3071
Ni3 Ni 0.5000 0.5000 0.5000
# * calculated formation energy: -0.338 eV per atom
# * DOS at the Fermi energy: 0.842 states/eV/atom
# * energy: -5.45 eV/atom
# * magnetic moment: 0.0 μB/f.u.

***

7.
# NbGa2Ni9 GGA-PBE optimized geometry
data_NbGa2Ni9
_chemical_formula_sum 'Nb1 Ga2 Ni9'
_space_group_name_H-M_alt 'P 4/m m m'
_space_group_IT_number 123
_space_group_name_Hall '-P 4 2'
_cell_length_a 3.6276
_cell_length_b 3.6276
_cell_length_c 10.7576
_cell_angle_alpha 90.00
_cell_angle_beta 90.00
_cell_angle_gamma 90.00
loop_
_atom_site_label
_atom_site_type_symbol
_atom_site_fract_x
_atom_site_fract_y
_atom_site_fract_z
Nb1 Nb 0.0000 0.0000 0.0000
Ga1 Ga 0.0000 0.0000 0.3384
Ni1 Ni 0.0000 0.5000 0.1705
Ni2 Ni 0.0000 0.5000 0.5000
Ni3 Ni 0.5000 0.5000 0.0000
Ni4 Ni 0.5000 0.5000 0.3359
# * calculated formation energy: -0.320 eV per atom
# * DOS at the Fermi energy: 0.891 states/eV/atom
# * energy: -6.00 eV/atom
# * magnetic moment: 0.0 μB/f.u.

***

8.
# Nb2Ga2Ni7Pt GGA-PBE optimized geometry
data_Nb2Ga2Ni7Pt
_chemical_formula_sum 'Nb4 Ga4 Ni14 Pt2'
_space_group_name_H-M_alt 'C 1 2/m 1'
_space_group_IT_number 12
_space_group_name_Hall '-C 2y'
_cell_length_a 4.7915
_cell_length_b 4.7914
_cell_length_c 14.8136
_cell_angle_alpha 90.00
_cell_angle_beta 99.24
_cell_angle_gamma 90.00
loop_
_atom_site_label
_atom_site_type_symbol
_atom_site_fract_x
_atom_site_fract_y
_atom_site_fract_z
Nb1 Nb 0.1333 0.0000 0.2678
Ga1 Ga 0.1902 0.5000 0.3809
Ni1 Ni 0.0000 0.0000 0.0000
Ni2 Ni 0.1828 0.2500 0.8632
Ni3 Ni 0.2259 0.0000 0.4516
Pt1 Pt 0.0000 0.5000 0.0000
# * calculated formation energy: 0.022 eV per atom
# * DOS at the Fermi energy: 1.148 states/eV/atom
# * energy: -6.04 eV/atom
# * magnetic moment: 0.0 μB/f.u.